(1)
Compound: LiSmBr4
Source: the Alexandria database
Functional: PBE
Structure: optimized geometry

## Properties
The value obtained for the uncorrected formation energy is -10.007 eV/f.u.

Lattice parameters (Å, degrees): 17.229 5.714 9.231 90.00 105.94 90.00
Space group C2/m (No. 12)
Inequivalent atoms, fractional coordinates:
Li 0.094 0.000 0.168 (multiplicity 4)
Sm 0.208 0.000 0.778 (multiplicity 4)
Br 0.064 0.000 0.869 (multiplicity 4)
Br 0.126 0.500 0.185 (multiplicity 4)
Br 0.144 0.000 0.477 (multiplicity 4)
Br 0.227 0.500 0.854 (multiplicity 4)


(2)
Compound: Tb5Mg5Cd2
Source: the Alexandria database
Functional: PBE
Structure: optimized geometry

## Properties
Its energy relative to the elements is -0.045 eV/atom.

Lattice parameters (Å, degrees): 9.114 5.255 14.209 90.00 102.29 90.00
Space group C2/m (No. 12)
Inequivalent atoms, fractional coordinates:
Tb 0.000 0.000 0.000 (multiplicity 2)
Tb 0.105 0.500 0.814 (multiplicity 4)
Tb 0.144 0.000 0.432 (multiplicity 4)
Mg 0.000 0.500 0.500 (multiplicity 2)
Mg 0.193 0.500 0.078 (multiplicity 4)
Mg 0.226 0.000 0.680 (multiplicity 4)
Cd 0.073 0.000 0.217 (multiplicity 4)


(3)
Compound: TcMoI2N
Source: the Alexandria database
Functional: PBE
Structure: optimized geometry

## Properties
The value obtained for the uncorrected formation energy is 4.983 eV/f.u.

Lattice parameters (Å, degrees): 5.662 5.662 3.814 90.00 90.00 90.00
Space group P4/mmm (No. 123)
Inequivalent atoms, fractional coordinates:
Tc 0.000 0.000 0.000 (multiplicity 1)
Mo 0.500 0.500 0.500 (multiplicity 1)
I 0.000 0.500 0.500 (multiplicity 2)
N 0.500 0.500 0.000 (multiplicity 1)


(4)
Compound: Rb3Tl3Pt
Source: the Alexandria database
Functional: PBE
Structure: optimized geometry

## Properties
Its energy relative to the elements is -0.085 eV/atom.

Lattice parameters (Å, degrees): 10.965 11.657 9.532 90.00 102.49 90.00
Space group C2/m (No. 12)
Inequivalent atoms, fractional coordinates:
Rb 0.000 0.160 0.000 (multiplicity 4)
Rb 0.000 0.277 0.500 (multiplicity 4)
Rb 0.115 0.500 0.856 (multiplicity 4)
Tl 0.176 0.000 0.387 (multiplicity 4)
Tl 0.236 0.355 0.222 (multiplicity 8)
Pt 0.080 0.000 0.637 (multiplicity 4)


(5)
Compound: CeCoC
Source: the Alexandria database
Functional: PBE
Structure: optimized geometry

## Properties
Its energy relative to the elements is -0.182 eV/atom.

Lattice parameters (Å, degrees): 4.982 3.558 5.282 90.00 108.44 90.00
Space group P2_1/m (No. 11)
Inequivalent atoms, fractional coordinates:
Ce 0.173 0.250 0.309 (multiplicity 2)
Co 0.409 0.750 0.847 (multiplicity 2)
C 0.241 0.250 0.818 (multiplicity 2)


(6)
Compound: Pr2Zn3GaNi12
Source: the Alexandria database
Functional: PBE
Structure: optimized geometry

## Properties
Its energy relative to the elements is 0.060 eV/atom.

Lattice parameters (Å, degrees): 6.0636 6.0636 25.8369 90.00 90.00 120.00
Space group R-3m (No. 166, hexagonal axes)
Inequivalent atoms, fractional coordinates:
Pr 0.0000 0.0000 0.1531 (multiplicity 6)
Zn 0.0000 0.5000 0.0000 (multiplicity 9)
Ga 0.0000 0.0000 0.5000 (multiplicity 3)
Ni 0.0534 0.5267 0.0954 (multiplicity 18)
Ni 0.0743 0.5372 0.6160 (multiplicity 18)


(7)
Compound: NaGaTe2S
Source: the Alexandria database
Functional: PBE
Structure: optimized geometry

## Properties
The value obtained for the uncorrected formation energy is 3.587 eV/f.u.

Lattice parameters (Å, degrees): 5.458 5.458 5.530 90.00 90.00 90.00
Space group P4/mmm (No. 123)
Inequivalent atoms, fractional coordinates:
Na 0.000 0.000 0.000 (multiplicity 1)
Ga 0.000 0.000 0.500 (multiplicity 1)
Te 0.000 0.500 0.000 (multiplicity 2)
S 0.500 0.500 0.500 (multiplicity 1)


(8)
Compound: ScNi9Ge2
Source: the Alexandria database
Functional: PBE
Structure: optimized geometry

## Properties
Its energy relative to the elements is -0.325 eV/atom.

Lattice parameters (Å, degrees): 3.641 3.641 10.748 90.00 90.00 90.00
Space group P4/mmm (No. 123)
Inequivalent atoms, fractional coordinates:
Sc 0.000 0.000 0.000 (multiplicity 1)
Ni 0.000 0.500 0.178 (multiplicity 4)
Ni 0.000 0.500 0.500 (multiplicity 2)
Ni 0.500 0.500 0.000 (multiplicity 1)
Ni 0.500 0.500 0.339 (multiplicity 2)
Ge 0.000 0.000 0.336 (multiplicity 2)


Number 1: calculated total energy -93.32 eV/cell, volume 36.4 Å³ per atom. Number 2: calculated total energy -66.99 eV/cell, volume 27.7 Å³ per atom. Number 3: calculated total energy -27.64 eV/cell, volume 24.5 Å³ per atom. Number 4: calculated total energy -66.56 eV/cell, volume 42.5 Å³ per atom. Number 5: calculated total energy -45.62 eV/cell, volume 14.8 Å³ per atom. Number 6: calculated total energy -254.12 eV/cell, volume 15.2 Å³ per atom. Number 7: calculated total energy -11.17 eV/cell, volume 33.0 Å³ per atom. Number 8: calculated total energy -71.49 eV/cell, volume 11.9 Å³ per atom.